[1]
Here is a geometry-optimized AcLa3Fe structure from Alexandria via LeMat-Bulk. Energies are from GGA-PBE.

The structure in CIF format:
```
data_AcLa3Fe
_symmetry_space_group_name_H-M 'P m -3 m'
_symmetry_Int_Tables_number 221
_symmetry_space_group_name_Hall '-P 4 2 3'
_cell_length_a 5.531
_cell_length_b 5.531
_cell_length_c 5.531
_cell_angle_alpha 90.00
_cell_angle_beta 90.00
_cell_angle_gamma 90.00
loop_
_atom_site_label
_atom_site_type_symbol
_atom_site_fract_x
_atom_site_fract_y
_atom_site_fract_z
Ac1 Ac 0.000 0.000 0.000
La1 La 0.000 0.500 0.500
Fe1 Fe 0.500 0.500 0.500
```

[2]
Here is a geometry-optimized AcLaFe structure from Alexandria via LeMat-Bulk. Energies are from GGA-PBE.

The structure in CIF format:
```
data_AcLaFe
_symmetry_space_group_name_H-M 'C 1 2/m 1'
_symmetry_Int_Tables_number 12
_cell_length_a 12.963
_cell_length_b 5.023
_cell_length_c 6.174
_cell_angle_alpha 90.00
_cell_angle_beta 113.47
_cell_angle_gamma 90.00
loop_
_symmetry_equiv_pos_as_xyz
'x,y,z'
'-x,-y,-z'
'-x,y,-z'
'x,-y,z'
'x+1/2,y+1/2,z'
'-x+1/2,-y+1/2,-z'
'-x+1/2,y+1/2,-z'
'x+1/2,-y+1/2,z'
loop_
_atom_site_label
_atom_site_type_symbol
_atom_site_fract_x
_atom_site_fract_y
_atom_site_fract_z
Ac1 Ac 0.131 0.000 0.453
La1 La 0.126 0.500 0.918
Fe1 Fe 0.084 0.000 0.961
```

[3]
Here is a geometry-optimized Ac2La6Fe structure from Alexandria via LeMat-Bulk. Energies are from GGA-PBE.

The structure in CIF format:
```
data_Ac2La6Fe
_symmetry_space_group_name_H-M 'I m m m'
_symmetry_Int_Tables_number 71
_symmetry_space_group_name_Hall '-I 2 2'
_cell_length_a 7.827
_cell_length_b 9.112
_cell_length_c 9.355
_cell_angle_alpha 90.00
_cell_angle_beta 90.00
_cell_angle_gamma 90.00
loop_
_atom_site_label
_atom_site_type_symbol
_atom_site_fract_x
_atom_site_fract_y
_atom_site_fract_z
Ac1 Ac 0.000 0.205 0.000
La1 La 0.000 0.299 0.500
La2 La 0.242 0.000 0.294
Fe1 Fe 0.000 0.000 0.500
```

Number 1: energy -0.197 hartree per atom. Number 2: energy -0.208 hartree per atom. Number 3: energy -0.187 hartree per atom.